# PBE Ca5AgHg2, relaxed
data_Ca5AgHg2
_chemical_formula_sum 'Ca10 Ag2 Hg4'
_cell_length_a 5.057
_cell_length_b 7.514
_cell_length_c 12.908
_cell_angle_alpha 90.00
_cell_angle_beta 90.00
_cell_angle_gamma 90.00
_symmetry_space_group_name_H-M 'P 1'
_symmetry_Int_Tables_number 1
loop_
_symmetry_equiv_pos_as_xyz
'x,y,z'
loop_
_atom_site_label
_atom_site_fract_x
_atom_site_fract_y
_atom_site_fract_z
Ag1 0.000 0.500 0.500
Ag2 0.000 0.000 0.000
Ca1 0.000 0.857 0.216
Ca2 0.500 0.817 0.909
Ca3 0.000 0.643 0.716
Ca4 0.000 0.500 0.000
Ca5 0.500 0.317 0.591
Ca6 0.500 0.183 0.091
Ca7 0.000 0.143 0.784
Ca8 0.500 0.683 0.409
Ca9 0.000 0.000 0.500
Ca10 0.000 0.357 0.284
Hg1 0.500 0.594 0.158
Hg2 0.500 0.406 0.842
Hg3 0.500 0.906 0.658
Hg4 0.500 0.094 0.342
# - Mass density: 4.80 g cm⁻³
# - Energy of formation: -0.36 eV per atom